# 1
! Pu8Bi5Sb, optimized geometry, DFT PBE; values from VASP
&SYSTEM
  ibrav = 0, nat = 14, ntyp = 3
/
ATOMIC_SPECIES
Pu 244.00 Pu.upf
Bi 208.98 Bi.upf
Sb 121.76 Sb.upf
CELL_PARAMETERS angstrom
-4.731 4.731 4.755
4.731 -4.731 4.755
4.731 4.731 -4.755
ATOMIC_POSITIONS crystal
Pu 0.037 0.132 0.759
Pu 0.224 0.472 0.601
Pu 0.373 0.279 0.241
Pu 0.376 0.776 0.248
Pu 0.528 0.128 0.752
Pu 0.721 0.963 0.094
Pu 0.868 0.627 0.906
Pu 0.872 0.624 0.399
Bi 0.128 0.002 0.377
Bi 0.248 0.872 0.874
Bi 0.626 0.752 0.623
Bi 0.750 0.250 0.500
Bi 0.998 0.374 0.126
Sb 0.500 0.500 0.000
! V: 30.4 Å³ per atom
! E_form (uncorrected): -0.3383 eV/atom
! VASP energy: -10.208 eV/atom
! total magnetization: 0.1 μB per cell

# 2
! PuBiSb2, optimized geometry, DFT PBE; values from VASP
&SYSTEM
  ibrav = 0, nat = 12, ntyp = 3
/
ATOMIC_SPECIES
Pu 244.00 Pu.upf
Bi 208.98 Bi.upf
Sb 121.76 Sb.upf
CELL_PARAMETERS angstrom
4.615 0.000 0.000
-2.307 3.996 0.000
0.000 0.000 21.182
ATOMIC_POSITIONS crystal
Pu 0.000 0.000 0.000
Pu 0.333 0.667 0.667
Pu 0.667 0.333 0.333
Bi 0.000 0.000 0.170
Bi 0.333 0.667 0.837
Bi 0.667 0.333 0.503
Sb 0.000 0.000 0.410
Sb 0.000 0.000 0.590
Sb 0.333 0.667 0.076
Sb 0.333 0.667 0.257
Sb 0.667 0.333 0.743
Sb 0.667 0.333 0.923
! V: 32.6 Å³ per atom
! E_form (uncorrected): -0.1358 eV/atom
! VASP energy: -6.750 eV/atom
! ΔE to the lowest computed polymorph: 63 kJ/mol of formula units
! total magnetization: 15.6 μB per cell